Entry i
Density functional theory data (PBE-GGA) for an optimized crystal structure of Zr2TlRe.

Unit cell a=3.1075 b=3.1075 c=9.3224 alpha=90.00 beta=90.00 gamma=110.72
Positions (direct):
Zr 0.0000 0.0000 0.4686
Zr 0.0000 0.0000 0.0314
Re 0.5000 0.5000 0.2500
Tl 0.5000 0.5000 0.7500

Its space group is Cmmm. Its crystal system is orthorhombic.

---

Entry ii
Density functional theory data (PBE-GGA) for an optimized crystal structure of Zr2TlRe.

Unit cell a=3.3375 b=3.3375 c=7.4613 alpha=90.00 beta=90.00 gamma=90.00
Positions (direct):
Re 0.5000 0.5000 0.2500
Zr 0.0000 0.0000 0.0374
Zr 0.0000 0.0000 0.4626
Tl 0.5000 0.5000 0.7500

Its space group is P4/mmm. Its crystal system is tetragonal.

---

The structure with the most favorable energy is entry ii; the runner-up is 17.0 kJ/mol of atoms above it.

---

Entry i
Density functional theory data (PBE-GGA) for an optimized crystal structure of Zr2TlRe.

Unit cell a=7.6321 b=4.7760 c=3.5410 alpha=90.00 beta=62.36 gamma=128.83
Positions (direct):
Zr 0.5000 0.0000 0.5000
Zr 0.0000 0.0000 0.0000
Tl 0.5000 0.5000 0.0000
Re 0.0000 0.5000 0.5000

Its space group is Cmmm. Its crystal system is orthorhombic.

---

Entry ii
Density functional theory data (PBE-GGA) for an optimized crystal structure of Zr2TlRe.

Unit cell a=4.7390 b=3.2539 c=5.4390 alpha=80.56 beta=90.00 gamma=90.00
Positions (direct):
Tl 0.5000 0.5870 0.7867
Zr 0.5000 0.2150 0.3236
Zr 0.0000 0.0301 0.9576
Re 0.0000 0.6679 0.4321

Its space group is Pm. Its crystal system is monoclinic.

---

The structure with the most favorable energy is entry i; the runner-up is 7.5 kJ/mol of atoms above it.

---

Entry i
Density functional theory data (PBE-GGA) for an optimized crystal structure of Zr4TlRe.

Unit cell a=5.6485 b=5.6485 c=5.6485 alpha=60.00 beta=60.00 gamma=60.00
Positions (direct):
Re 0.7500 0.7500 0.7500
Zr 0.8684 0.3772 0.3772
Zr 0.3772 0.3772 0.8684
Zr 0.3772 0.8684 0.3772
Zr 0.3772 0.3772 0.3772
Tl 0.0000 0.0000 0.0000

Its space group is F-43m. Its crystal system is cubic.

---

Entry ii
Density functional theory data (PBE-GGA) for an optimized crystal structure of Zr4TlRe.

Unit cell a=4.7913 b=4.7953 c=7.9767 alpha=72.48 beta=72.52 gamma=60.03
Positions (direct):
Zr 0.6350 0.6352 0.0947
Zr 0.3650 0.3648 0.9053
Zr 0.1148 0.1140 0.6563
Zr 0.8852 0.8860 0.3437
Tl 0.5000 0.5000 0.5000
Re 0.0000 0.0000 0.0000

Its space group is R-3m. Its crystal system is trigonal.

---

The structure with the most favorable energy is entry ii; the runner-up is 36.4 kJ/mol of atoms above it.

---

Entry i
Density functional theory data (PBE-GGA) for an optimized crystal structure of TmRe6.

Unit cell a=5.9628 b=5.9628 c=5.9628 alpha=109.47 beta=109.47 gamma=109.47
Positions (direct):
Tm 0.0000 0.0000 0.0000
Re 0.2500 0.7500 0.5000
Re 0.5000 0.7500 0.2500
Re 0.5000 0.2500 0.7500
Re 0.7500 0.5000 0.2500
Re 0.7500 0.2500 0.5000
Re 0.2500 0.5000 0.7500

Its space group is Im-3m. Its crystal system is cubic.

---

Entry ii
Density functional theory data (PBE-GGA) for an optimized crystal structure of TmRe6.

Unit cell a=5.2112 b=8.4655 c=10.8447 alpha=90.00 beta=90.00 gamma=90.00
Positions (direct):
Tm 0.7500 0.2325 0.9436
Tm 0.2500 0.7675 0.0564
Tm 0.7500 0.7325 0.5564
Tm 0.2500 0.2675 0.4436
Re 0.7500 0.0825 0.4786
Re 0.2500 0.3187 0.7435
Re 0.2500 0.9175 0.5214
Re 0.7500 0.9182 0.0808
Re 0.2500 0.0818 0.9192
Re 0.7500 0.8610 0.8496
Re 0.2500 0.6390 0.3496
Re 0.7500 0.5825 0.0214
Re 0.2500 0.5818 0.5808
Re 0.9915 0.5729 0.8070
Re 0.5085 0.5729 0.8070
Re 0.0085 0.4271 0.1930
Re 0.2500 0.4175 0.9786
Re 0.7500 0.4182 0.4192
Re 0.7500 0.6813 0.2565
Re 0.4915 0.9271 0.3070
Re 0.2500 0.8187 0.7565
Re 0.4915 0.4271 0.1930
Re 0.7500 0.1813 0.2435
Re 0.7500 0.3610 0.6504
Re 0.5085 0.0729 0.6930
Re 0.0085 0.9271 0.3070
Re 0.9915 0.0729 0.6930
Re 0.2500 0.1390 0.1504

Its space group is Pnma. Its crystal system is orthorhombic.

---

The structure with the most favorable energy is entry ii; the runner-up is 105.5 kJ/mol of atoms above it.

---

Entry i
Density functional theory data (PBE-GGA) for an optimized crystal structure of TmV2Re.

Unit cell a=4.5095 b=4.5095 c=4.5082 alpha=59.99 beta=59.99 gamma=60.00
Positions (direct):
V 0.2499 0.2499 0.2502
V 0.7501 0.7501 0.7498
Re 0.0000 0.0000 0.0000
Tm 0.5000 0.5000 0.5000

Its space group is Fm-3m. Its crystal system is cubic.

---

Entry ii
Density functional theory data (PBE-GGA) for an optimized crystal structure of TmV2Re.

Unit cell a=3.1003 b=3.1003 c=7.1119 alpha=90.00 beta=90.00 gamma=90.00
Positions (direct):
V 0.0000 0.0000 0.8013
V 0.0000 0.0000 0.1987
Re 0.5000 0.5000 0.0000
Tm 0.5000 0.5000 0.5000

Its space group is P4/mmm. Its crystal system is tetragonal.

---

The structure with the most favorable energy is entry ii; the runner-up is 8.6 kJ/mol of atoms above it.

---

Entry i
Density functional theory data (PBE-GGA) for an optimized crystal structure of U2Re.

Unit cell a=4.6879 b=2.9420 c=4.6883 alpha=90.00 beta=120.00 gamma=90.00
Positions (direct):
U 0.6666 0.6387 0.3333
U 0.3334 0.3613 0.6667
Re 0.0000 0.0000 0.0000

Its space group is P-3m1. Its crystal system is trigonal.

---

Entry ii
Density functional theory data (PBE-GGA) for an optimized crystal structure of U2Re.

Unit cell a=3.4053 b=3.4053 c=5.4107 alpha=108.34 beta=108.34 gamma=90.00
Positions (direct):
Re 0.0000 0.0000 0.0000
U 0.3191 0.3191 0.6382
U 0.6809 0.6809 0.3618

Its space group is I4/mmm. Its crystal system is tetragonal.

---

The structure with the most favorable energy is entry i; the runner-up is 1.7 kJ/mol of atoms above it.

---

Entry i
Density functional theory data (PBE-GGA) for an optimized crystal structure of U4Re.

Unit cell a=4.9743 b=4.9743 c=4.5926 alpha=69.73 beta=69.73 gamma=88.00
Positions (direct):
U 0.7140 0.2860 0.5000
U 0.2860 0.7140 0.5000
U 0.6944 0.6944 0.7714
U 0.3056 0.3056 0.2286
Re 0.0000 0.0000 0.0000

Its space group is C2/m. Its crystal system is monoclinic.

---

Entry ii
Density functional theory data (PBE-GGA) for an optimized crystal structure of U4Re.

Unit cell a=5.2289 b=5.2289 c=5.2289 alpha=90.00 beta=90.00 gamma=90.00
Positions (direct):
U 0.0000 0.5000 0.5000
U 0.5000 0.5000 0.0000
U 0.5000 0.0000 0.5000
U 0.0000 0.0000 0.0000
Re 0.5000 0.5000 0.5000

Its space group is Pm-3m. Its crystal system is cubic.

---

The structure with the most favorable energy is entry i; the runner-up is 83.7 kJ/mol of atoms above it.

---

Entry i
Density functional theory data (PBE-GGA) for an optimized crystal structure of UV2Re.

Unit cell a=3.1479 b=3.1479 c=6.2960 alpha=90.00 beta=90.00 gamma=90.00
Positions (direct):
U 0.5000 0.5000 0.5000
Re 0.5000 0.5000 0.0000
V 0.0000 0.0000 0.7600
V 0.0000 0.0000 0.2400

Its space group is P4/mmm. Its crystal system is tetragonal.

---

Entry ii
Density functional theory data (PBE-GGA) for an optimized crystal structure of UV2Re.

Unit cell a=4.4472 b=4.4472 c=4.4472 alpha=60.00 beta=60.00 gamma=60.00
Positions (direct):
Re 0.5000 0.5000 0.5000
U 0.0000 0.0000 0.0000
V 0.2500 0.2500 0.2500
V 0.7500 0.7500 0.7500

Its space group is Fm-3m. Its crystal system is cubic.

---

The structure with the most favorable energy is entry ii; the runner-up is 8.7 kJ/mol of atoms above it.

---

Entry i
Density functional theory data (PBE-GGA) for an optimized crystal structure of UVRe.

Unit cell a=2.7950 b=4.4844 c=4.4844 alpha=120.00 beta=90.00 gamma=90.00
Positions (direct):
Re 0.6234 0.3333 0.6667
U 0.3079 0.6667 0.3333
V 0.0687 0.0000 0.0000

Its space group is P3m1. Its crystal system is trigonal.

---

Entry ii
Density functional theory data (PBE-GGA) for an optimized crystal structure of UVRe.

Unit cell a=3.4503 b=3.4503 c=4.9607 alpha=90.00 beta=90.00 gamma=90.00
Positions (direct):
U 0.5000 0.5000 0.5000
V 0.5000 0.5000 0.0000
Re 0.0000 0.0000 0.0000

Its space group is P4/mmm. Its crystal system is tetragonal.

---

The structure with the most favorable energy is entry i; the runner-up is 71.7 kJ/mol of atoms above it.

---

Entry i
Density functional theory data (PBE-GGA) for an optimized crystal structure of URe2W.

Unit cell a=3.1975 b=4.6456 c=4.6456 alpha=90.00 beta=90.00 gamma=90.00
Positions (direct):
W 0.5000 0.5000 0.5000
Re 0.0000 0.5000 0.0000
Re 0.0000 0.0000 0.5000
U 0.5000 0.0000 0.0000

Its space group is P4/mmm. Its crystal system is tetragonal.

---

Entry ii
Density functional theory data (PBE-GGA) for an optimized crystal structure of URe2W.

Unit cell a=3.0647 b=3.0647 c=7.3733 alpha=90.00 beta=90.00 gamma=90.00
Positions (direct):
Re 0.0000 0.0000 0.2154
Re 0.0000 0.0000 0.7846
W 0.5000 0.5000 0.0000
U 0.5000 0.5000 0.5000

Its space group is P4/mmm. Its crystal system is tetragonal.

---

The structure with the most favorable energy is entry ii; the runner-up is 7.8 kJ/mol of atoms above it.

---

Entry i
Density functional theory data (PBE-GGA) for an optimized crystal structure of UReW.

Unit cell a=2.7965 b=4.6506 c=4.6506 alpha=120.00 beta=90.00 gamma=90.00
Positions (direct):
Re 0.6466 0.3333 0.6667
U 0.3380 0.6667 0.3333
W 0.0154 0.0000 0.0000

Its space group is P3m1. Its crystal system is trigonal.

---

Entry ii
Density functional theory data (PBE-GGA) for an optimized crystal structure of UReW.

Unit cell a=3.6653 b=3.6653 c=4.8498 alpha=112.20 beta=112.20 gamma=90.00
Positions (direct):
U 0.6140 0.6140 0.2280
Re 0.9339 0.9339 0.8678
W 0.3021 0.3021 0.6043

Its space group is I4mm. Its crystal system is tetragonal.

---

Entry iii
Density functional theory data (PBE-GGA) for an optimized crystal structure of UReW.

Unit cell a=4.6626 b=5.7440 c=8.0996 alpha=98.95 beta=90.00 gamma=90.00
Positions (direct):
U 0.7500 0.5177 0.7812
U 0.7500 0.0177 0.7812
U 0.2500 0.9823 0.2188
U 0.2500 0.4823 0.2188
Re 0.2500 0.7195 0.8777
Re 0.7500 0.2805 0.1223
Re 0.7500 0.7805 0.1223
Re 0.2500 0.2195 0.8777
W 0.2500 0.8476 0.5696
W 0.2500 0.3476 0.5696
W 0.7500 0.1524 0.4304
W 0.7500 0.6524 0.4304

Its space group is P2_1/m. Its crystal system is monoclinic.

---

The structure with the most favorable energy is entry iii; the runner-up is 10.1 kJ/mol of atoms above it.

---

Entry i
Density functional theory data (PBE-GGA) for an optimized crystal structure of UZnRe.

Unit cell a=3.1095 b=5.1029 c=7.6381 alpha=90.00 beta=90.00 gamma=90.00
Positions (direct):
Re 0.0000 0.5000 0.3220
Re 0.5000 0.0000 0.6780
U 0.0000 0.0000 0.3703
U 0.5000 0.5000 0.6297
Zn 0.0000 0.0000 0.9608
Zn 0.5000 0.5000 0.0392

Its space group is Pmmn. Its crystal system is orthorhombic.

---

Entry ii
Density functional theory data (PBE-GGA) for an optimized crystal structure of UZnRe.

Unit cell a=2.7797 b=2.7797 c=7.6857 alpha=90.00 beta=90.00 gamma=120.00
Positions (direct):
Zn 0.0000 0.0000 0.9806
Re 0.3333 0.6667 0.6871
U 0.6667 0.3333 0.3323

Its space group is P3m1. Its crystal system is trigonal.

---

The structure with the most favorable energy is entry ii; the runner-up is 13.3 kJ/mol of atoms above it.

---

Entry i
Density functional theory data (PBE-GGA) for an optimized crystal structure of VRe3W.

Unit cell a=4.7066 b=4.7066 c=4.7066 alpha=90.00 beta=90.00 gamma=90.00
Positions (direct):
Re 0.0000 0.5000 0.0000
Re 0.5000 0.0000 0.0000
Re 0.0000 0.0000 0.5000
V 0.5000 0.5000 0.5000
W 0.0000 0.0000 0.0000

Its space group is Pm-3m. Its crystal system is cubic.

---

Entry ii
Density functional theory data (PBE-GGA) for an optimized crystal structure of VRe3W.

Unit cell a=4.4228 b=4.4228 c=4.4228 alpha=90.00 beta=90.00 gamma=90.00
Positions (direct):
Re 0.5000 0.0000 0.0000
Re 0.0000 0.0000 0.5000
Re 0.0000 0.5000 0.0000
W 0.5000 0.5000 0.5000
V 0.0000 0.0000 0.0000

Its space group is Pm-3m. Its crystal system is cubic.

---

The structure with the most favorable energy is entry ii; the runner-up is 55.3 kJ/mol of atoms above it.